1.
Here is a geometry-optimized TaAlAg2 structure from the Alexandria database. Energies are from GGA-PBE.

Results
As for the distance to the lowest polymorph of the same formula: 125.8 meV/atom. The formation energy comes out at 9.91 kJ per mole of atoms. The total energy is -20.89 eV for the cell shown. Its density of states at the Fermi level is 2.16 states/eV per cell.

abc: 4.2238 2.8843 5.8705
angles: 75.61 90.00 90.00
Sites, in units of the cell vectors:
Ta  0.5000  0.6957  0.7304
Ag  0.5000  0.4410  0.2449
Ag  0.0000  0.0590  0.0081
Al  0.0000  0.3044  0.5167



2.
Here is a geometry-optimized TaAl3Ag structure from the Alexandria database. Energies are from GGA-PBE.

Results
As for the distance to the lowest polymorph of the same formula: 0.0 meV/atom. The formation energy comes out at 92.33 kJ per mole of atoms. The total energy is -21.15 eV for the cell shown. Its density of states at the Fermi level is 3.31 states/eV per cell.

abc: 5.0345 5.0345 5.0345
angles: 90.00 90.00 90.00
Sites, in units of the cell vectors:
Al  0.5000  0.0000  0.0000
Al  0.0000  0.0000  0.5000
Al  0.0000  0.5000  0.0000
Ag  0.5000  0.5000  0.5000
Ta  0.0000  0.0000  0.0000



3.
Here is a geometry-optimized TaAlAg2 structure from the Alexandria database. Energies are from GGA-PBE.

Results
As for the distance to the lowest polymorph of the same formula: 205.4 meV/atom. The formation energy comes out at 17.59 kJ per mole of atoms. The total energy is -20.57 eV for the cell shown. Its density of states at the Fermi level is 2.38 states/eV per cell.

abc: 5.1238 5.7377 2.7612
angles: 77.80 86.24 115.51
Sites, in units of the cell vectors:
Ta  0.5000  0.5000  0.0000
Ag  0.5000  0.0000  0.5000
Ag  0.0000  0.0000  0.0000
Al  0.0000  0.5000  0.5000



4.
Here is a geometry-optimized TaAlAg2 structure from the Alexandria database. Energies are from GGA-PBE.

Results
As for the distance to the lowest polymorph of the same formula: 297.5 meV/atom. The formation energy comes out at 26.48 kJ per mole of atoms. The total energy is -20.20 eV for the cell shown. Its density of states at the Fermi level is 1.98 states/eV per cell.

abc: 5.1177 5.1177 5.1177
angles: 133.55 133.55 67.79
Sites, in units of the cell vectors:
Al  0.2500  0.7500  0.5000
Ag  0.5000  0.5000  0.0000
Ag  0.0000  0.0000  0.0000
Ta  0.7500  0.2500  0.5000



5.
Here is a geometry-optimized TaAlAg2 structure from the Alexandria database. Energies are from GGA-PBE.

Results
As for the distance to the lowest polymorph of the same formula: 295.4 meV/atom. The formation energy comes out at 26.27 kJ per mole of atoms. The total energy is -20.21 eV for the cell shown. Its density of states at the Fermi level is 2.50 states/eV per cell.

abc: 5.2501 5.2501 2.8021
angles: 90.00 90.00 114.57
Sites, in units of the cell vectors:
Ta  0.0000  0.5000  0.5000
Ag  0.5000  0.5000  0.0000
Ag  0.0000  0.0000  0.0000
Al  0.5000  0.0000  0.5000



6.
Here is a geometry-optimized TaAlAg2 structure from the Alexandria database. Energies are from GGA-PBE.

Results
As for the distance to the lowest polymorph of the same formula: 251.0 meV/atom. The formation energy comes out at 21.99 kJ per mole of atoms. The total energy is -20.39 eV for the cell shown. Its density of states at the Fermi level is 2.36 states/eV per cell.

abc: 5.6358 5.6358 5.6358
angles: 150.13 128.01 61.12
Sites, in units of the cell vectors:
Ag  0.9955  0.9955  0.0000
Ag  0.7361  0.2361  0.5000
Ta  0.2627  0.7627  0.5000
Al  0.5057  0.5057  0.0000



| no. | magnetization (μB/f.u.) |
| --- | --- |
| 1 | 0.00 |
| 2 | 0.00 |
| 3 | 0.00 |
| 4 | 0.00 |
| 5 | 0.00 |
| 6 | 0.00 |